(1)
# Mg2SnPd2, relaxed, DFT GGA-PBE
data_Mg2SnPd2
_chemical_formula_sum 'Mg4 Sn2 Pd4'
_symmetry_space_group_name_H-M 'C 1 2/m 1'
_symmetry_Int_Tables_number 12
_cell_length_a 7.9554
_cell_length_b 4.5470
_cell_length_c 5.6153
_cell_angle_alpha 90.00
_cell_angle_beta 118.84
_cell_angle_gamma 90.00
loop_
_symmetry_equiv_pos_as_xyz
'x,y,z'
'-x,-y,-z'
'-x,y,-z'
'x,-y,z'
'x+1/2,y+1/2,z'
'-x+1/2,-y+1/2,-z'
'-x+1/2,y+1/2,-z'
'x+1/2,-y+1/2,z'
loop_
_atom_site_label
_atom_site_type_symbol
_atom_site_fract_x
_atom_site_fract_y
_atom_site_fract_z
Mg1 Mg 0.2122 0.0000 0.1402
Sn1 Sn 0.0000 0.0000 0.5000
Pd1 Pd 0.0959 0.5000 0.2925
# Calculated volume in Å³ per atom: 17.79
# Raw total energy in eV/atom: -4.090
# Density of states at the Fermi level in states/eV/cell: 3.05
# ΔH_f (0 K) in meV/atom: -574

***

(2)
# TaSiIr2, relaxed, DFT GGA-PBE
data_TaSiIr2
_chemical_formula_sum 'Ta1 Si1 Ir2'
_symmetry_space_group_name_H-M 'P m m 2'
_symmetry_Int_Tables_number 25
_cell_length_a 2.8877
_cell_length_b 3.9322
_cell_length_c 5.4020
_cell_angle_alpha 90.00
_cell_angle_beta 90.00
_cell_angle_gamma 90.00
loop_
_symmetry_equiv_pos_as_xyz
'x,y,z'
'-x,-y,z'
'-x,y,z'
'x,-y,z'
loop_
_atom_site_label
_atom_site_type_symbol
_atom_site_fract_x
_atom_site_fract_y
_atom_site_fract_z
Ta1 Ta 0.0000 0.0000 0.0000
Si1 Si 0.5000 0.5000 0.6765
Ir1 Ir 0.0000 0.0000 0.5320
Ir2 Ir 0.5000 0.5000 0.2066
# Calculated volume in Å³ per atom: 15.34
# Raw total energy in eV/atom: -9.160
# Density of states at the Fermi level in states/eV/cell: 2.21

***

(3)
# IrPb3F, relaxed, DFT GGA-PBE
data_IrPb3F
_chemical_formula_sum 'Ir1 Pb3 F1'
_symmetry_space_group_name_H-M 'P m -3 m'
_symmetry_Int_Tables_number 221
_symmetry_space_group_name_Hall '-P 4 2 3'
_cell_length_a 5.3501
_cell_length_b 5.3501
_cell_length_c 5.3501
_cell_angle_alpha 90.00
_cell_angle_beta 90.00
_cell_angle_gamma 90.00
loop_
_atom_site_label
_atom_site_type_symbol
_atom_site_fract_x
_atom_site_fract_y
_atom_site_fract_z
Ir1 Ir 0.0000 0.0000 0.0000
Pb1 Pb 0.0000 0.0000 0.5000
F1 F 0.5000 0.5000 0.5000
# Calculated volume in Å³ per atom: 30.63
# E above lowest polymorph in eV per atom: 0.0000
# Raw total energy in eV/atom: -4.474
# Density of states at the Fermi level in states/eV/cell: 5.86

***

(4)
# FeP2Se, relaxed, DFT GGA-PBE
data_FeP2Se
_chemical_formula_sum 'Fe1 P2 Se1'
_symmetry_space_group_name_H-M 'P 4 m m'
_symmetry_Int_Tables_number 99
_cell_length_a 2.7418
_cell_length_b 2.7418
_cell_length_c 8.2798
_cell_angle_alpha 90.00
_cell_angle_beta 90.00
_cell_angle_gamma 90.00
loop_
_symmetry_equiv_pos_as_xyz
'x,y,z'
'-y,x,z'
'-x,-y,z'
'y,-x,z'
'-x,y,z'
'y,x,z'
'x,-y,z'
'-y,-x,z'
loop_
_atom_site_label
_atom_site_type_symbol
_atom_site_fract_x
_atom_site_fract_y
_atom_site_fract_z
Fe1 Fe 0.0000 0.0000 0.0000
P1 P 0.0000 0.0000 0.4369
P2 P 0.5000 0.5000 0.1667
Se1 Se 0.5000 0.5000 0.8010
# Calculated volume in Å³ per atom: 15.56
# Raw total energy in eV/atom: -5.336
# Density of states at the Fermi level in states/eV/cell: 2.49

***

(5)
# Rb2BaRuO6, relaxed, DFT GGA-PBE
data_Rb2BaRuO6
_chemical_formula_sum 'Rb2 Ba1 Ru1 O6'
_symmetry_space_group_name_H-M 'P -3 m 1'
_symmetry_Int_Tables_number 164
_symmetry_space_group_name_Hall '-P 3 2"'
_cell_length_a 6.4327
_cell_length_b 6.4327
_cell_length_c 6.5576
_cell_angle_alpha 90.00
_cell_angle_beta 90.00
_cell_angle_gamma 120.00
loop_
_atom_site_label
_atom_site_type_symbol
_atom_site_fract_x
_atom_site_fract_y
_atom_site_fract_z
Rb1 Rb 0.3333 0.6667 0.0982
Ba1 Ba 0.0000 0.0000 0.5000
Ru1 Ru 0.0000 0.0000 0.0000
O1 O 0.1371 0.2743 0.8291
# Calculated volume in Å³ per atom: 23.50
# Raw total energy in eV/atom: -5.590

***

(6)
# Mn3FePb, relaxed, DFT GGA-PBE
data_Mn3FePb
_chemical_formula_sum 'Mn3 Fe1 Pb1'
_symmetry_space_group_name_H-M 'P m -3 m'
_symmetry_Int_Tables_number 221
_symmetry_space_group_name_Hall '-P 4 2 3'
_cell_length_a 4.4526
_cell_length_b 4.4526
_cell_length_c 4.4526
_cell_angle_alpha 90.00
_cell_angle_beta 90.00
_cell_angle_gamma 90.00
loop_
_atom_site_label
_atom_site_type_symbol
_atom_site_fract_x
_atom_site_fract_y
_atom_site_fract_z
Mn1 Mn 0.0000 0.0000 0.5000
Fe1 Fe 0.0000 0.0000 0.0000
Pb1 Pb 0.5000 0.5000 0.5000
# Calculated volume in Å³ per atom: 17.65
# E above lowest polymorph in eV per atom: 0.0000
# Raw total energy in eV/atom: -7.111
# Density of states at the Fermi level in states/eV/cell: 5.83
# ΔH_f (0 K) in meV/atom: 825

***

(7)
# SrSbOs3, relaxed, DFT GGA-PBE
data_SrSbOs3
_chemical_formula_sum 'Sr1 Sb1 Os3'
_symmetry_space_group_name_H-M 'P m -3 m'
_symmetry_Int_Tables_number 221
_symmetry_space_group_name_Hall '-P 4 2 3'
_cell_length_a 4.9208
_cell_length_b 4.9208
_cell_length_c 4.9208
_cell_angle_alpha 90.00
_cell_angle_beta 90.00
_cell_angle_gamma 90.00
loop_
_atom_site_label
_atom_site_type_symbol
_atom_site_fract_x
_atom_site_fract_y
_atom_site_fract_z
Sr1 Sr 0.0000 0.0000 0.0000
Sb1 Sb 0.5000 0.5000 0.5000
Os1 Os 0.0000 0.5000 0.5000
# Calculated volume in Å³ per atom: 23.83
# E above lowest polymorph in eV per atom: 0.0000
# Raw total energy in eV/atom: -6.214
# Density of states at the Fermi level in states/eV/cell: 7.38

***

(8)
# CdMoW2, relaxed, DFT GGA-PBE
data_CdMoW2
_chemical_formula_sum 'Cd2 Mo2 W4'
_symmetry_space_group_name_H-M 'I 4/m m m'
_symmetry_Int_Tables_number 139
_symmetry_space_group_name_Hall '-I 4 2'
_cell_length_a 4.0012
_cell_length_b 4.0012
_cell_length_c 8.3905
_cell_angle_alpha 90.00
_cell_angle_beta 90.00
_cell_angle_gamma 90.00
loop_
_atom_site_label
_atom_site_type_symbol
_atom_site_fract_x
_atom_site_fract_y
_atom_site_fract_z
Cd1 Cd 0.0000 0.0000 0.0000
Mo1 Mo 0.0000 0.0000 0.5000
W1 W 0.0000 0.5000 0.2500
# Calculated volume in Å³ per atom: 16.79
# Raw total energy in eV/atom: -8.826
# Density of states at the Fermi level in states/eV/cell: 7.14
# ΔH_f (0 K) in meV/atom: 588

***

(9)
# Pm3Nd2DyAs6, relaxed, DFT GGA-PBE
data_Pm3Nd2DyAs6
_chemical_formula_sum 'Pm6 Nd4 Dy2 As12'
_symmetry_space_group_name_H-M 'C 1 2/m 1'
_symmetry_Int_Tables_number 12
_cell_length_a 18.4368
_cell_length_b 4.2329
_cell_length_c 8.4601
_cell_angle_alpha 90.00
_cell_angle_beta 103.27
_cell_angle_gamma 90.00
loop_
_symmetry_equiv_pos_as_xyz
'x,y,z'
'-x,-y,-z'
'-x,y,-z'
'x,-y,z'
'x+1/2,y+1/2,z'
'-x+1/2,-y+1/2,-z'
'-x+1/2,y+1/2,-z'
'x+1/2,-y+1/2,z'
loop_
_atom_site_label
_atom_site_type_symbol
_atom_site_fract_x
_atom_site_fract_y
_atom_site_fract_z
Pm1 Pm 0.0000 0.0000 0.0000
Pm2 Pm 0.1671 0.5000 0.3339
Nd1 Nd 0.1658 0.5000 0.8321
Dy1 Dy 0.0000 0.0000 0.5000
As1 As 0.0009 0.5000 0.2556
As2 As 0.1646 0.0000 0.5806
As3 As 0.1663 0.0000 0.0844
# Calculated volume in Å³ per atom: 26.77
# Raw total energy in eV/atom: -6.209
# Density of states at the Fermi level in states/eV/cell: 3.50
# ΔH_f (0 K) in meV/atom: -1519

***

(10)
# NdHoZnIn, relaxed, DFT GGA-PBE
data_NdHoZnIn
_chemical_formula_sum 'Nd4 Ho4 Zn4 In4'
_symmetry_space_group_name_H-M 'F -4 3 m'
_symmetry_Int_Tables_number 216
_symmetry_space_group_name_Hall 'F -4 2 3'
_cell_length_a 7.4685
_cell_length_b 7.4685
_cell_length_c 7.4685
_cell_angle_alpha 90.00
_cell_angle_beta 90.00
_cell_angle_gamma 90.00
loop_
_atom_site_label
_atom_site_type_symbol
_atom_site_fract_x
_atom_site_fract_y
_atom_site_fract_z
Nd1 Nd 0.0000 0.0000 0.0000
Ho1 Ho 0.0000 0.0000 0.5000
Zn1 Zn 0.2500 0.2500 0.7500
In1 In 0.2500 0.2500 0.2500
# Calculated volume in Å³ per atom: 26.04
# E above lowest polymorph in eV per atom: 0.0262
# Raw total energy in eV/atom: -3.723
# Density of states at the Fermi level in states/eV/cell: 15.91
# ΔH_f (0 K) in meV/atom: -384

***

(11)
# Ba2GeBr2O2, relaxed, DFT GGA-PBE
data_Ba2GeBr2O2
_chemical_formula_sum 'Ba4 Ge2 Br4 O4'
_symmetry_space_group_name_H-M 'C 1 2/m 1'
_symmetry_Int_Tables_number 12
_cell_length_a 12.3184
_cell_length_b 4.4606
_cell_length_c 7.7290
_cell_angle_alpha 90.00
_cell_angle_beta 105.55
_cell_angle_gamma 90.00
loop_
_symmetry_equiv_pos_as_xyz
'x,y,z'
'-x,-y,-z'
'-x,y,-z'
'x,-y,z'
'x+1/2,y+1/2,z'
'-x+1/2,-y+1/2,-z'
'-x+1/2,y+1/2,-z'
'x+1/2,-y+1/2,z'
loop_
_atom_site_label
_atom_site_type_symbol
_atom_site_fract_x
_atom_site_fract_y
_atom_site_fract_z
Ba1 Ba 0.1849 0.0000 0.2771
Ge1 Ge 0.0000 0.5000 0.5000
Br1 Br 0.1114 0.0000 0.8167
O1 O 0.1445 0.5000 0.4287
# Calculated volume in Å³ per atom: 29.22
# Raw total energy in eV/atom: -4.997

***

(12)
# Li3Tm5S8, relaxed, DFT GGA-PBE
data_Li3Tm5S8
_chemical_formula_sum 'Li9 Tm15 S24'
_symmetry_space_group_name_H-M 'R -3 m'
_symmetry_Int_Tables_number 166
_symmetry_space_group_name_Hall '-R 3 2"'
_cell_length_a 7.6498
_cell_length_b 7.6498
_cell_length_c 18.6565
_cell_angle_alpha 90.00
_cell_angle_beta 90.00
_cell_angle_gamma 120.00
loop_
_atom_site_label
_atom_site_type_symbol
_atom_site_fract_x
_atom_site_fract_y
_atom_site_fract_z
Li1 Li 0.0000 0.5000 0.0000
Tm1 Tm 0.0000 0.0000 0.0000
Tm2 Tm 0.0000 0.0000 0.5000
Tm3 Tm 0.0000 0.5000 0.5000
S1 S 0.0000 0.0000 0.2499
S2 S 0.0025 0.5012 0.2513
# Calculated volume in Å³ per atom: 19.70
# Raw total energy in eV/atom: -5.711
# Density of states at the Fermi level in states/eV/cell: 11.00